[1]
The following is a PBE calculation of a geometry-optimized Ce4Mn structure, from Alexandria.

Cell: 5.1380 5.1380 5.1380 Å, 90.00 90.00 90.00°
Closest atoms and distances in Å follow each position.
Sites, in units of the cell vectors:
Mn 0.5000 0.5000 0.5000  6 Ce 2.57
Ce 0.0000 0.0000 0.0000  12 Ce 3.63
Ce 0.5000 0.0000 0.5000  2 Mn 2.57
Ce 0.0000 0.5000 0.5000  2 Mn 2.57
Ce 0.5000 0.5000 0.0000  2 Mn 2.57

Properties
DOS(E_F): 16.5 states/eV/f.u.
SG: Pm-3m
calculated total energy: -31.82 eV/cell

---

[2]
The following is a PBE calculation of a geometry-optimized Ce5Mn structure, from Alexandria.

Cell: 4.4648 4.4329 7.6508 Å, 106.84 90.00 90.00°
Closest atoms and distances in Å follow each position.
Sites, in units of the cell vectors:
Mn 0.0000 0.0000 0.0000  12 Ce 3.15-3.35
Ce 0.5000 0.8421 0.6841  10 Ce 3.15-3.49, 2 Mn 3.21
Ce 0.0000 0.6715 0.3430  10 Ce 3.15-3.36, 2 Mn 3.35
Ce 0.5000 0.5000 0.0000  4 Mn 3.15, 8 Ce 3.20-3.36
Ce 0.0000 0.3285 0.6570  10 Ce 3.15-3.36, 2 Mn 3.35
Ce 0.5000 0.1579 0.3159  10 Ce 3.15-3.49, 2 Mn 3.21

Properties
DOS(E_F): 14.1 states/eV/f.u.
SG: Cmmm
calculated total energy: -37.97 eV/cell

---

[3]
The following is a PBE calculation of a geometry-optimized CeMn4Mo structure, from Alexandria.

Cell: 4.9590 4.9590 4.9590 Å, 60.00 60.00 60.00°
Closest atoms and distances in Å follow each position.
Sites, in units of the cell vectors:
Mo 0.2500 0.2500 0.2500  12 Mn 2.91, 4 Ce 3.04
Mn 0.6248 0.6248 0.1256  6 Mn 2.48
Mn 0.6248 0.1256 0.6248  6 Mn 2.48
Mn 0.6248 0.6248 0.6248  6 Mn 2.48
Mn 0.1256 0.6248 0.6248  6 Mn 2.48
Ce 0.0000 0.0000 0.0000  12 Mn 2.91, 4 Mo 3.04

Properties
DOS(E_F): 9.4 states/eV/f.u.
SG: F-43m
calculated total energy: -52.08 eV/cell

---

calculated total energy of number 1 (Ce4Mn)? -31.82 eV/cell

---

Number 2 is which compound? Ce5Mn

---

Among the records above, which one has the lowest calculated total energy? CeMn4Mo

---

The lowest DOS(E_F) belongs to which entry? CeMn4Mo